DFT (PBE) results for a relaxed Ac5PmEr crystal.

abc: 6.954 7.180 12.719
angles: 93.49 74.14 102.88
Positions (direct):
Ac 0.217 0.340 0.093
Ac 0.174 0.498 0.594
Ac 0.311 0.840 0.907
Ac 0.783 0.660 0.907
Ac 0.826 0.502 0.406
Ac 0.689 0.160 0.093
Ac 0.232 0.002 0.594
Ac 0.363 0.750 0.274
Ac 0.637 0.250 0.726
Ac 0.768 0.998 0.406
Er 0.920 0.750 0.159
Er 0.080 0.250 0.841
Pm 0.670 0.750 0.660
Pm 0.330 0.250 0.340

M_tot = 0.00 μB/f.u.
Space-group type = C2/c
Crystal system = monoclinic
Total DFT energy (no corrections) = -0.1482 Ha/atom

DFT (PBE) results for a relaxed AcPm2Er3 crystal.

abc: 6.783 6.783 9.112
angles: 97.83 97.83 95.11
Positions (direct):
Ac 0.915 0.085 0.750
Ac 0.085 0.915 0.250
Er 0.574 0.426 0.750
Er 0.828 0.652 0.499
Er 0.172 0.348 0.501
Er 0.652 0.828 0.999
Er 0.426 0.574 0.250
Er 0.348 0.172 0.001
Pm 0.869 0.377 0.127
Pm 0.131 0.623 0.873
Pm 0.377 0.869 0.627
Pm 0.623 0.131 0.373

M_tot = 0.00 μB/f.u.
Space-group type = C2/c
Crystal system = monoclinic
Total DFT energy (no corrections) = -0.1634 Ha/atom

DFT (PBE) results for a relaxed AcPmEr14 crystal.

abc: 7.233 7.233 11.252
angles: 90.00 90.00 119.86
Positions (direct):
Ac 0.165 0.835 0.000
Er 0.834 0.166 0.251
Er 0.168 0.334 0.000
Er 0.167 0.833 0.500
Er 0.335 0.665 0.745
Er 0.834 0.166 0.749
Er 0.666 0.832 0.000
Er 0.831 0.666 0.743
Er 0.334 0.169 0.743
Er 0.667 0.834 0.500
Er 0.667 0.333 0.500
Er 0.334 0.169 0.257
Er 0.335 0.665 0.255
Er 0.831 0.666 0.257
Er 0.166 0.333 0.500
Pm 0.665 0.335 0.000

M_tot = 0.00 μB/f.u.
Space-group type = Amm2
Crystal system = orthorhombic
Total DFT energy (no corrections) = -0.1664 Ha/atom

DFT (PBE) results for a relaxed Ac6Pm4Er crystal.

abc: 10.583 10.583 10.583
angles: 56.05 141.19 141.19
Positions (direct):
Ac 0.366 0.536 0.536
Ac 0.500 0.500 0.000
Ac 0.500 0.000 0.500
Ac 0.000 0.830 0.464
Ac 0.634 0.170 0.170
Ac 0.000 0.464 0.830
Er 0.000 0.000 0.000
Pm 0.000 0.653 0.019
Pm 0.634 0.981 0.981
Pm 0.000 0.019 0.653
Pm 0.366 0.347 0.347

M_tot = 0.00 μB/f.u.
Space-group type = I-42m
Crystal system = tetragonal
Total DFT energy (no corrections) = -0.1495 Ha/atom

DFT (PBE) results for a relaxed Ac2Pm5Er12 crystal.

abc: 6.858 15.011 12.666
angles: 139.66 67.98 129.88
Positions (direct):
Pm 0.503 0.334 0.830
Pm 0.767 0.511 0.398
Pm 0.000 0.000 0.500
Pm 0.233 0.489 0.602
Pm 0.497 0.666 0.170
Er 0.647 0.766 0.962
Er 0.612 0.406 0.610
Er 0.388 0.594 0.390
Er 0.933 0.619 0.201
Er 0.392 0.951 0.602
Er 0.608 0.049 0.398
Er 0.353 0.234 0.038
Er 0.067 0.381 0.799
Er 0.917 0.256 0.974
Er 0.083 0.744 0.026
Er 0.820 0.879 0.745
Er 0.180 0.121 0.255
Ac 0.764 0.156 0.192
Ac 0.236 0.844 0.808

M_tot = 0.00 μB/f.u.
Space-group type = P-1
Crystal system = triclinic
Total DFT energy (no corrections) = -0.1649 Ha/atom

DFT (PBE) results for a relaxed AcPm3Er8 crystal.

abc: 8.507 8.507 8.515
angles: 95.67 100.20 136.37
Positions (direct):
Er 0.834 0.750 0.577
Er 0.165 0.831 0.334
Er 0.173 0.257 0.423
Er 0.173 0.750 0.916
Er 0.501 0.331 0.171
Er 0.497 0.831 0.666
Er 0.834 0.256 0.084
Er 0.160 0.330 0.829
Ac 0.836 0.836 0.000
Pm 0.836 0.336 0.500
Pm 0.495 0.243 0.747
Pm 0.495 0.748 0.253

M_tot = 0.00 μB/f.u.
Space-group type = Imm2
Crystal system = orthorhombic
Total DFT energy (no corrections) = -0.1669 Ha/atom

DFT (PBE) results for a relaxed AcPm2Er5 crystal.

abc: 8.378 7.365 17.234
angles: 90.00 90.00 90.00
Positions (direct):
Pm 0.299 0.500 0.000
Pm 0.299 0.000 0.500
Pm 0.701 0.500 0.000
Pm 0.701 0.000 0.500
Pm 0.500 0.251 0.350
Pm 0.500 0.749 0.650
Pm 0.500 0.751 0.150
Pm 0.500 0.249 0.850
Er 0.791 0.000 0.250
Er 0.000 0.747 0.392
Er 0.791 0.500 0.250
Er 0.209 0.000 0.750
Er 0.500 0.748 0.354
Er 0.000 0.753 0.892
Er 0.209 0.500 0.750
Er 0.500 0.252 0.646
Er 0.791 0.500 0.750
Er 0.209 0.000 0.250
Er 0.500 0.752 0.853
Er 0.700 0.500 0.500
Er 0.209 0.500 0.250
Er 0.700 0.000 0.000
Er 0.791 0.000 0.750
Er 0.300 0.000 0.000
Er 0.500 0.248 0.147
Er 0.300 0.500 0.500
Er 0.000 0.253 0.608
Er 0.000 0.247 0.108
Ac 0.000 0.251 0.399
Ac 0.000 0.751 0.101
Ac 0.000 0.249 0.899
Ac 0.000 0.749 0.601

M_tot = 0.00 μB/f.u.
Space-group type = Pbam
Crystal system = orthorhombic
Total DFT energy (no corrections) = -0.1651 Ha/atom

DFT (PBE) results for a relaxed Ac2Pm5Er2 crystal.

abc: 3.684 12.408 10.500
angles: 48.16 100.31 81.73
Positions (direct):
Pm 0.436 0.347 0.220
Pm 0.564 0.653 0.780
Pm 0.000 0.000 0.000
Pm 0.152 0.278 0.570
Pm 0.848 0.722 0.430
Ac 0.717 0.679 0.113
Ac 0.283 0.321 0.887
Er 0.852 0.971 0.670
Er 0.148 0.029 0.330

M_tot = 0.00 μB/f.u.
Space-group type = P-1
Crystal system = triclinic
Total DFT energy (no corrections) = -0.1645 Ha/atom